The following is a GGA+U calculation of KCoAsO after structural relaxation, from OQMD via LeMat-Bulk.

Cell: 3.9884 3.9884 10.7381 Å, 90.00 90.00 90.00°
With the nearest neighbours (Å) after each atom.
Fractional coordinates of all 8 atoms:
As: 0.5000 0.0000 0.7344  1 Co 2.38
As: 0.0000 0.5000 0.2656  1 Co 2.38
K: 0.5000 0.5000 0.5000  4 K 2.82
K: 0.0000 0.0000 0.5000  4 K 2.82
Co: 0.5000 0.0000 0.9563  4 O 2.05
Co: 0.0000 0.5000 0.0437  4 O 2.05
O: 0.0000 0.0000 0.0000  4 Co 2.05
O: 0.5000 0.5000 0.0000  4 Co 2.05

Summary:
* excess energy over the best structure of this formula in the dataset: 0.563 eV per atom
* total magnetization: 5.6 μB per cell